Entry 1:
## CaPr7Tl4 (GGA-PBE)

Data for crystalline CaPr7Tl4 at its relaxed geometry.

Values from the calculation:
Calculated density (kg/m³): 7588
ΔH_f (0 K) (eV/atom): -0.0747
Uncorrected energy (eV/atom): -3.818
Crystal system: monoclinic

```
CaPr7Tl4
1.0
-3.619 4.391 -1.841
-9.049 -2.349 2.472
-1.857 5.034 5.945
Pr Tl Ca
7 4 1
direct
0.940 0.392 0.728 Pr
0.206 0.120 0.468 Pr
0.060 0.608 0.272 Pr
0.794 0.880 0.532 Pr
0.280 0.653 0.788 Pr
0.720 0.347 0.212 Pr
0.500 0.000 0.000 Pr
0.439 0.755 0.367 Tl
0.314 0.331 0.041 Tl
0.561 0.245 0.633 Tl
0.686 0.669 0.959 Tl
0.000 0.000 0.000 Ca
```

***

Entry 2:
## AsOsPd3 (GGA-PBE)

Data for crystalline AsOsPd3 at its relaxed geometry.

Values from the calculation:
Calculated density (kg/m³): 10049
ΔH_f (0 K) (eV/atom): 1.0102
Relative energy among the computed polymorphs (meV per atom): 0
Uncorrected energy (eV/atom): -5.281
Crystal system: cubic

```
AsOsPd3
1.0
4.588 0.000 0.000
0.000 4.588 0.000
0.000 0.000 4.588
Os Pd As
1 3 1
direct
0.500 0.500 0.500 Os
0.500 0.000 0.000 Pd
0.000 0.500 0.000 Pd
0.000 0.000 0.500 Pd
0.000 0.000 0.000 As
```

***

Entry 3:
## NaDyZnCd (GGA-PBE)

Data for crystalline NaDyZnCd at its relaxed geometry.

Values from the calculation:
Calculated density (kg/m³): 6428
ΔH_f (0 K) (eV/atom): -0.0916
Uncorrected energy (eV/atom): -2.119
Crystal system: cubic

```
NaDyZnCd
1.0
-2.404 -3.172 3.191
2.685 -3.259 2.861
0.339 0.711 5.040
Zn Dy Cd Na
1 1 1 1
direct
0.250 0.250 0.250 Zn
0.500 0.500 0.500 Dy
0.750 0.750 0.750 Cd
0.000 0.000 0.000 Na
```

***

Entry 4:
## Sb2Pb3Au4 (GGA-PBE)

Data for crystalline Sb2Pb3Au4 at its relaxed geometry.

Values from the calculation:
Calculated density (kg/m³): 11881
Uncorrected energy (eV/atom): -3.673
Formation energy from raw total energies (meV/atom): -64
Crystal system: monoclinic

```
Sb2Pb3Au4
1.0
4.353 0.000 0.000
-2.176 6.183 -0.372
0.000 -3.068 8.769
Au Pb Sb
4 3 2
direct
0.923 0.846 0.585 Au
0.690 0.380 0.041 Au
0.310 0.620 0.959 Au
0.077 0.154 0.415 Au
0.607 0.214 0.701 Pb
0.000 0.000 0.000 Pb
0.393 0.786 0.299 Pb
0.683 0.365 0.334 Sb
0.317 0.635 0.666 Sb
```

***

Entry 5:
## Zn2SbRh (GGA-PBE)

Data for crystalline Zn2SbRh at its relaxed geometry.

Values from the calculation:
Calculated density (kg/m³): 8584
Uncorrected energy (eV/atom): -3.588
Formation energy from raw total energies (meV/atom): -83
Crystal system: monoclinic

```
Zn2SbRh
1.0
-3.266 -3.210 -1.545
-2.848 -3.507 1.717
-3.994 2.341 0.725
Rh Zn Sb
1 2 1
direct
0.750 0.750 0.750 Rh
0.487 0.487 0.542 Zn
0.013 0.013 0.958 Zn
0.250 0.250 0.250 Sb
```

***

Entry 6:
## Sm14DyIn (GGA-PBE)

Data for crystalline Sm14DyIn at its relaxed geometry.

Values from the calculation:
Calculated density (kg/m³): 7558
ΔH_f (0 K) (eV/atom): -0.0354
Uncorrected energy (eV/atom): -4.623
Crystal system: tetragonal

```
Sm14DyIn
1.0
-6.334 -2.703 -1.994
-0.950 -2.640 6.598
-4.575 8.653 2.804
Sm In Dy
14 1 1
direct
0.375 0.125 0.500 Sm
0.126 0.376 0.246 Sm
0.624 0.874 0.246 Sm
0.875 0.625 0.500 Sm
0.624 0.376 0.246 Sm
0.875 0.625 0.000 Sm
0.875 0.125 0.500 Sm
0.375 0.125 0.000 Sm
0.126 0.874 0.754 Sm
0.375 0.625 0.500 Sm
0.624 0.874 0.754 Sm
0.126 0.874 0.246 Sm
0.126 0.376 0.754 Sm
0.624 0.376 0.754 Sm
0.375 0.625 0.000 In
0.875 0.125 0.000 Dy
```